[1]
# ReSeCl

A crystal of ReSeCl relaxed with PBEsol (meta-GGA SCAN, Alexandria via LeMat-Bulk).

**VASP energy**: -33.659 eV/atom
**Spin magnetization**: 0.0 μB per formula unit
**N(E_F)**: 0.00 states/eV/f.u.
**Space group**: No. 20
**Raw formation energy**: -0.61 eV per atom

Lattice parameters (Å, degrees): 9.112 9.112 11.122 90.00 90.00 102.72
Positions (direct):
Cl1 0.540 0.460 0.250
Se1 0.801 0.051 0.964
Re1 0.316 0.822 0.100
Cl2 0.896 0.407 0.104
Cl3 0.829 0.573 0.823
Re2 0.607 0.100 0.822
Se2 0.553 0.295 0.964
Re3 0.684 0.178 0.600
Se3 0.705 0.447 0.536
Se4 0.199 0.949 0.464
Cl4 0.573 0.829 0.177
Re4 0.822 0.316 0.900
Se5 0.914 0.669 0.327
Cl5 0.171 0.427 0.323
Se6 0.949 0.199 0.536
Re5 0.100 0.607 0.178
Cl6 0.049 0.951 0.750
Re6 0.623 0.377 0.750
Re7 0.116 0.884 0.250
Se7 0.295 0.553 0.036
Cl7 0.427 0.171 0.677
Cl8 0.460 0.540 0.750
Cl9 0.104 0.593 0.604
Se8 0.447 0.705 0.464
Se9 0.669 0.914 0.673
Re8 0.178 0.684 0.400
Re9 0.884 0.116 0.750
Se10 0.086 0.331 0.827
Se11 0.331 0.086 0.173
Cl10 0.407 0.896 0.896
Re10 0.393 0.900 0.322
Re11 0.377 0.623 0.250
Cl11 0.951 0.049 0.250
Se12 0.051 0.801 0.036
Re12 0.900 0.393 0.678
Cl12 0.593 0.104 0.396

[2]
# Na3NF

A crystal of Na3NF relaxed with PBEsol (meta-GGA SCAN, Alexandria via LeMat-Bulk).

**VASP energy**: -5.690 eV/atom
**Spin magnetization**: 1.0 μB per formula unit
**N(E_F)**: 2.80 states/eV/f.u.
**Space group**: No. 221
**Raw formation energy**: -0.59 eV per atom

Lattice parameters (Å, degrees): 4.527 4.527 4.527 90.00 90.00 90.00
Each line ends with the local moment (μB).
Positions (direct):
F1 0.500 0.500 0.500  0.00
Na1 0.000 0.000 0.500  0.00
Na2 0.500 0.000 0.000  0.00
N1 0.000 0.000 0.000  0.69
Na3 0.000 0.500 0.000  0.00

[3]
# RbScMnAl2

A crystal of RbScMnAl2 relaxed with PBEsol (meta-GGA SCAN, Alexandria via LeMat-Bulk).

**VASP energy**: -13.018 eV/atom
**Spin magnetization**: 3.7 μB per formula unit
**N(E_F)**: 2.67 states/eV/f.u.
**Space group**: No. 123
**DFT formation energy**: 70.3 kJ per mole of atoms

Lattice parameters (Å, degrees): 4.810 4.810 5.274 90.00 90.00 90.00
Each line ends with the local moment (μB).
Positions (direct):
Rb1 0.000 0.000 0.500  0.06
Sc1 0.500 0.500 0.500  0.48
Al1 0.500 0.000 0.000  -0.09
Al2 0.000 0.500 0.000  -0.09
Mn1 0.000 0.000 0.000  3.31

[4]
# K2SbAu

A crystal of K2SbAu relaxed with PBEsol (meta-GGA SCAN, Alexandria via LeMat-Bulk).

**VASP energy**: -31.336 eV/atom
**Spin magnetization**: 0.0 μB per formula unit
**N(E_F)**: 0.28 states/eV/f.u.
**Space group**: No. 38
**Raw formation energy**: -0.57 eV per atom

Lattice parameters (Å, degrees): 4.889 5.482 6.162 116.40 90.00 90.00
Positions (direct):
Sb1 0.000 0.335 0.545
Au1 0.500 0.416 0.707
K1 0.500 0.727 0.329
K2 0.000 0.022 0.919

[5]
# RbZn3S

A crystal of RbZn3S relaxed with PBEsol (meta-GGA SCAN, Alexandria via LeMat-Bulk).

**VASP energy**: -13.066 eV/atom
**Spin magnetization**: 1.0 μB per formula unit
**N(E_F)**: 8.26 states/eV/f.u.
**Space group**: No. 221
**Raw formation energy**: 1.12 eV per atom

Lattice parameters (Å, degrees): 6.252 6.252 6.252 90.00 90.00 90.00
Each line ends with the local moment (μB).
Positions (direct):
S1 0.500 0.500 0.500  0.61
Zn1 0.500 0.000 0.000  0.00
Zn2 0.000 0.500 0.000  0.00
Rb1 0.000 0.000 0.000  0.00
Zn3 0.000 0.000 0.500  0.00

[6]
# TeIrIO2

A crystal of TeIrIO2 relaxed with PBEsol (meta-GGA SCAN, Alexandria via LeMat-Bulk).

**Offset from the most stable computed form**: 139.7 meV per atom
**VASP energy**: -31.145 eV/atom
**Spin magnetization**: 1.1 μB per formula unit
**N(E_F)**: 1.66 states/eV/f.u.
**Space group**: No. 123
**Raw formation energy**: 0.37 eV per atom

Lattice parameters (Å, degrees): 3.910 3.910 6.382 90.00 90.00 90.00
Each line ends with the local moment (μB).
Positions (direct):
O1 0.000 0.500 0.000  0.01
I1 0.000 0.000 0.500  -0.02
Ir1 0.500 0.500 0.500  0.96
O2 0.500 0.000 0.000  0.01
Te1 0.000 0.000 0.000  0.00

[7]
# CaY2Rh2

A crystal of CaY2Rh2 relaxed with PBEsol (meta-GGA SCAN, Alexandria via LeMat-Bulk).

**Offset from the most stable computed form**: 0.0 meV per atom
**VASP energy**: -27.283 eV/atom
**Spin magnetization**: 0.0 μB per formula unit
**N(E_F)**: 2.65 states/eV/f.u.
**Space group**: No. 127
**DFT formation energy**: -68.0 kJ per mole of atoms

Lattice parameters (Å, degrees): 3.566 7.848 7.848 90.00 90.00 90.00
Positions (direct):
Rh1 0.000 0.142 0.358
Y1 0.500 0.349 0.151
Rh2 0.000 0.358 0.858
Ca1 0.000 0.500 0.500
Ca2 0.000 0.000 0.000
Y2 0.500 0.849 0.349
Y3 0.500 0.151 0.651
Rh3 0.000 0.642 0.142
Y4 0.500 0.651 0.849
Rh4 0.000 0.858 0.642

[8]
# MnTl2As

A crystal of MnTl2As relaxed with PBEsol (meta-GGA SCAN, Alexandria via LeMat-Bulk).

**Offset from the most stable computed form**: 126.8 meV per atom
**VASP energy**: -45.595 eV/atom
**Spin magnetization**: 4.7 μB per formula unit
**N(E_F)**: 1.32 states/eV/f.u.
**Space group**: No. 47
**DFT formation energy**: 18.9 kJ per mole of atoms

Lattice parameters (Å, degrees): 4.197 4.321 4.902 90.00 90.00 90.00
Each line ends with the local moment (μB).
Positions (direct):
Tl1 0.500 0.500 0.000  0.00
Tl2 0.000 0.000 0.000  0.01
As1 0.500 0.000 0.500  0.02
Mn1 0.000 0.500 0.500  4.42

[9]
# CaScZn2

A crystal of CaScZn2 relaxed with PBEsol (meta-GGA SCAN, Alexandria via LeMat-Bulk).

**VASP energy**: -13.054 eV/atom
**Spin magnetization**: 0.0 μB per formula unit
**N(E_F)**: 2.07 states/eV/f.u.
**Space group**: No. 25
**DFT formation energy**: -31.0 kJ per mole of atoms

Lattice parameters (Å, degrees): 3.375 4.886 4.903 90.00 90.00 90.00
Positions (direct):
Ca1 0.500 0.000 0.616
Sc1 0.500 0.500 0.130
Zn1 0.000 0.500 0.644
Zn2 0.000 0.000 0.111

[10]
# TaAl2W

A crystal of TaAl2W relaxed with PBEsol (meta-GGA SCAN, Alexandria via LeMat-Bulk).

**Offset from the most stable computed form**: 36.2 meV per atom
**VASP energy**: -38.095 eV/atom
**Spin magnetization**: 0.0 μB per formula unit
**N(E_F)**: 1.87 states/eV/f.u.
**Space group**: No. 10
**DFT formation energy**: -14.6 kJ per mole of atoms

Lattice parameters (Å, degrees): 2.754 4.256 5.502 90.00 103.58 90.00
Positions (direct):
Al1 0.032 0.000 0.257
W1 0.500 0.500 0.500
Ta1 0.500 0.500 0.000
Al2 0.968 0.000 0.743

[11]
# LiGa2Ni2

A crystal of LiGa2Ni2 relaxed with PBEsol (meta-GGA SCAN, Alexandria via LeMat-Bulk).

**VASP energy**: -13.910 eV/atom
**Spin magnetization**: 0.0 μB per formula unit
**N(E_F)**: 2.16 states/eV/f.u.
**Space group**: No. 127
**DFT formation energy**: -40.9 kJ per mole of atoms

Lattice parameters (Å, degrees): 2.640 6.948 6.948 90.00 90.00 90.00
Positions (direct):
Li1 0.000 0.500 0.500
Ni1 0.500 0.645 0.855
Ga1 0.000 0.348 0.848
Ga2 0.000 0.652 0.152
Ni2 0.500 0.145 0.645
Li2 0.000 0.000 0.000
Ga3 0.000 0.152 0.348
Ni3 0.500 0.855 0.355
Ga4 0.000 0.848 0.652
Ni4 0.500 0.355 0.145

[12]
# K2AgCl2

A crystal of K2AgCl2 relaxed with PBEsol (meta-GGA SCAN, Alexandria via LeMat-Bulk).

**VASP energy**: -13.917 eV/atom
**Spin magnetization**: 0.0 μB per formula unit
**N(E_F)**: 2.05 states/eV/f.u.
**Space group**: No. 139
**Raw formation energy**: -1.12 eV per atom

Lattice parameters (Å, degrees): 6.093 6.499 6.093 62.05 90.00 117.95
Positions (direct):
Cl1 0.266 0.532 0.734
K1 0.250 0.500 0.250
K2 0.750 0.500 0.750
Ag1 0.000 0.000 0.000
Cl2 0.734 0.468 0.266